Entry from Alexandria: Pa2B3C2 after structural relaxation (PBE).

Calculated total energy ... -60.7 eV/f.u.
Mass density ... 10.1 g/cm3
Crystal system ... monoclinic
V ... 85.4 Å³/f.u.
Formation energy from the elements ... -0.4603 eV/atom

Unit cell a=3.352 b=3.738 c=7.027 alpha=90.00 beta=103.94 gamma=90.00
Space group P2/m (No. 10)
Symmetry-distinct sites (fractional):
Pa 0.133 0.000 0.268 (multiplicity 2)
B 0.280 0.500 0.560 (multiplicity 2)
B 0.500 0.500 0.000 (multiplicity 1)
C 0.394 0.500 0.785 (multiplicity 2)